Entry from the Alexandria database: an optimized crystal structure of TbY7Er2 (GGA-PBE).

ρ = 5780 kg/m3
calculated formation energy = 119.9 kJ/mol of formula units
E above lowest polymorph = 0 meV per atom
M_tot = 0.000 μB per formula unit

Lattice parameters (Å, degrees): 3.510 15.125 15.125 156.47 89.88 89.88
Fractional positions:
Y 0.739 0.146 0.348
Y 0.261 0.854 0.652
Y 0.000 0.305 0.695
Y 0.739 0.348 0.146
Y 0.000 0.695 0.305
Y 0.500 0.500 0.500
Y 0.261 0.652 0.854
Er 0.500 0.205 0.795
Er 0.500 0.795 0.205
Tb 0.000 0.000 0.000

=====

Entry from the Alexandria database: an optimized crystal structure of Sm2Dy3Ho3 (GGA-PBE).

ρ = 8385 kg/m3
calculated formation energy = 1.7 kJ/mol of formula units
E above lowest polymorph = 0 meV per atom
M_tot = 0.000 μB per formula unit

Lattice parameters (Å, degrees): 3.572 6.184 12.046 75.12 81.44 89.99
Fractional positions:
Ho 0.876 0.543 0.248
Ho 0.000 0.000 0.000
Ho 0.124 0.457 0.752
Dy 0.624 0.957 0.752
Dy 0.500 0.500 0.000
Dy 0.376 0.043 0.248
Sm 0.250 0.250 0.500
Sm 0.750 0.750 0.500

=====

Entry from the Alexandria database: an optimized crystal structure of RbSiOsO6 (GGA-PBE).

E_form (uncorrected) = -1.64 eV/atom
ρ = 4797 kg/m3
M_tot = 0.956 μB per formula unit

Lattice parameters (Å, degrees): 5.007 5.007 6.374 90.00 90.00 60.00
Site moments in Bohr magnetons follow the coordinates.
Fractional positions:
O 0.393 0.593 0.335  0.04
O 0.393 0.014 0.665  0.04
O 0.593 0.393 0.665  0.04
O 0.014 0.593 0.665  0.04
O 0.593 0.014 0.335  0.04
O 0.014 0.393 0.335  0.04
Rb 0.000 0.000 0.000  0.00
Os 0.667 0.667 0.500  0.60
Si 0.333 0.333 0.500  0.03

=====

Entry from the Alexandria database: an optimized crystal structure of CdIn4Tc (GGA-PBE).

ρ = 8158 kg/m3
calculated formation energy = 374.8 kJ/mol of formula units
M_tot = 0.005 μB per formula unit

Lattice parameters (Å, degrees): 5.777 5.777 5.777 60.00 60.00 60.00
Fractional positions:
In 0.376 0.873 0.376
In 0.873 0.376 0.376
In 0.376 0.376 0.873
In 0.376 0.376 0.376
Cd 0.000 0.000 0.000
Tc 0.750 0.750 0.750